Record 1
A plane-wave DFT calculation with PBE-GGA was carried out for a relaxed Y2MnCl crystal.

## Properties
Its formation energy without anion corrections is 37.0 kJ per mole of atoms. As for the energy above the most stable polymorph in this dataset: 0.8588 eV/atom. The symmetry is F-43m, No. 216.

Lattice parameters (Å, degrees): 5.2115 5.2115 5.2115 60.00 60.00 60.00
Closest atoms and distances in Å follow each position.
Sites, in units of the cell vectors:
Mn  0.7500  0.7500  0.7500  4 Cl 3.19, 4 Y 3.19
Cl  0.5000  0.5000  0.5000  4 Mn 3.19, 4 Y 3.19
Y  0.0000  0.0000  0.0000  4 Mn 3.19, 4 Y 3.19
Y  0.2500  0.2500  0.2500  4 Cl 3.19, 4 Y 3.19

Record 2
A plane-wave DFT calculation with PBE-GGA was carried out for a relaxed KTa2Ni crystal.

## Properties
As for the energy above the most stable polymorph in this dataset: 0.5943 eV/atom. As for the formation energy: 1091 meV/atom. The symmetry is Imm2, No. 44.

Lattice parameters (Å, degrees): 6.0479 6.0479 6.0479 152.73 123.12 64.20
Closest atoms and distances in Å follow each position.
Sites, in units of the cell vectors:
K  0.4773  0.4773  0.0000  2 K 2.85, 2 Ni 3.03
Ta  0.7892  0.2892  0.5000  4 Ta 2.74-2.85
Ta  0.0173  0.0173  0.0000  2 Ni 2.49, 2 Ta 2.74
Ni  0.2162  0.7162  0.5000  2 Ta 2.49

Record 3
A plane-wave DFT calculation with PBE-GGA was carried out for a relaxed Gd2NiN crystal.

## Properties
Its formation energy without anion corrections is -73.4 kJ per mole of atoms. The symmetry is R-3m, No. 166.

Lattice parameters (Å, degrees): 3.5770 3.5770 6.9716 75.14 75.14 60.00
Closest atoms and distances in Å follow each position.
Sites, in units of the cell vectors:
Gd  0.2631  0.2631  0.2106  3 N 2.50
Gd  0.7369  0.7369  0.7894  3 N 2.50
N  0.0000  0.0000  0.0000  6 Gd 2.50
Ni  0.5000  0.5000  0.5000  6 Gd 2.82

Record 4
A plane-wave DFT calculation with PBE-GGA was carried out for a relaxed SbRh2Pb crystal.

## Properties
Its formation energy without anion corrections is 19.6 kJ per mole of atoms. As for the energy above the most stable polymorph in this dataset: 0.5303 eV/atom. The symmetry is I-42d, No. 122.

Lattice parameters (Å, degrees): 6.1263 6.1263 7.1961 64.81 64.81 90.00
Closest atoms and distances in Å follow each position.
Sites, in units of the cell vectors:
Rh  0.6058  0.1250  0.2500  2 Sb 2.53, 2 Pb 2.67
Rh  0.8750  0.8558  0.7500  2 Sb 2.53, 2 Pb 2.67
Rh  0.3750  0.3942  0.7500  2 Sb 2.53, 2 Pb 2.67
Rh  0.1442  0.6250  0.2500  2 Sb 2.53, 2 Pb 2.67
Sb  0.5000  0.5000  0.0000  4 Rh 2.53
Sb  0.2500  0.7500  0.5000  4 Rh 2.53
Pb  0.7500  0.2500  0.5000  4 Rh 2.67
Pb  0.0000  0.0000  0.0000  4 Rh 2.67

Looking at V for the records above, in order, we have 25.02 21.04 18.45 26.96 Å³/atom.